[1]
A plane-wave DFT calculation with SCAN was carried out for a PBEsol-optimized structure of ScSe2Br.

Total magnetization, μB/cell: 1.66
E_form (uncorrected), eV per formula unit: -3.4

a = 3.5460 Å, b = 3.5460 Å, c = 9.2002 Å
α = 78.89°, β = 78.89°, γ = 60.00°
Site moments in Bohr magnetons follow the coordinates.
Atoms (fractional coordinates):
1 Se 0.9806 0.9806 0.0581  0.05
2 Sc 0.2553 0.2553 0.2341  0.07
3 Se 0.7407 0.7407 0.7779  0.92
4 Br 0.5234 0.5234 0.4298  0.02

[2]
A plane-wave DFT calculation with SCAN was carried out for a PBEsol-optimized structure of ScSeBr2.

Total magnetization, μB/cell: 0.00
E_form (uncorrected), eV per formula unit: -3.6

a = 3.4556 Å, b = 3.4556 Å, c = 9.6070 Å
α = 79.64°, β = 79.64°, γ = 60.00°
Atoms (fractional coordinates):
1 Br 0.2280 0.2280 0.3159
2 Se 0.0000 0.0000 0.0000
3 Br 0.7720 0.7720 0.6841
4 Sc 0.5000 0.5000 0.5000